Record 1
The following is a DFT calculation (GGA-PBE) of a relaxed HoAlTl2Te4 crystal.

Cell: 9.0336 9.0336 9.0336 Å, 121.18 119.28 89.61°
Sites, in units of the cell vectors:
Ho 0.0000 0.0000 0.0000
Ho 0.5000 0.0000 0.5000
Al 0.5000 0.0000 0.0000
Al 0.5000 0.5000 0.5000
Tl 0.0000 0.0000 0.5000
Tl 0.0000 0.5000 0.0000
Tl 0.0000 0.5000 0.5000
Tl 0.5000 0.5000 0.0000
Te 0.2717 0.2534 0.4817
Te 0.2717 0.7900 0.0183
Te 0.2824 0.2415 0.0409
Te 0.2993 0.7585 0.5409
Te 0.7007 0.2415 0.4591
Te 0.7176 0.7585 0.9591
Te 0.7283 0.2100 0.9817
Te 0.7283 0.7466 0.5183

As for the total energy: -61.191 eV/cell. Its space group is Imma (74).

***

Record 2
The following is a DFT calculation (GGA-PBE) of a relaxed HoTh2Al crystal.

Cell: 12.0175 12.0175 12.0175 Å, 16.09 16.09 16.09°
Sites, in units of the cell vectors:
Ho 0.0000 0.0000 0.0000
Th 0.0930 0.0930 0.0930
Th 0.9070 0.9070 0.9070
Al 0.5000 0.5000 0.5000

The energy of formation is 77 kJ/mol of formula units. As for the total energy: -22.364 eV/cell. As for the relative energy among the computed polymorphs: 331 meV/atom. Its space group is R-3m (166).

***

Record 3
The following is a DFT calculation (GGA-PBE) of a relaxed HoThAl crystal.

Cell: 5.0446 5.0446 7.2899 Å, 90.00 90.00 120.00°
Sites, in units of the cell vectors:
Ho 0.3333 0.6667 0.3972
Ho 0.6667 0.3333 0.6028
Th 0.3333 0.6667 0.8892
Th 0.6667 0.3333 0.1108
Al 0.0000 0.0000 0.2947
Al 0.0000 0.0000 0.7053

The energy of formation is -17 kJ/mol of formula units. As for the total energy: -31.826 eV/cell. As for the relative energy among the computed polymorphs: 108 meV/atom. Its space group is P-3m1 (164).

***

Record 4
The following is a DFT calculation (GGA-PBE) of a relaxed HoTh2Al crystal.

Cell: 5.4311 5.4311 5.4311 Å, 60.00 60.00 60.00°
Sites, in units of the cell vectors:
Ho 0.0000 0.0000 0.0000
Th 0.2500 0.2500 0.2500
Th 0.7500 0.7500 0.7500
Al 0.5000 0.5000 0.5000

The energy of formation is 21 kJ/mol of formula units. As for the total energy: -22.939 eV/cell. As for the relative energy among the computed polymorphs: 187 meV/atom. Its space group is Fm-3m (225).

***

Record 5
The following is a DFT calculation (GGA-PBE) of a relaxed HoTh3Al8 crystal.

Cell: 9.7935 9.7935 9.7935 Å, 33.69 33.69 33.69°
Sites, in units of the cell vectors:
Ho 0.0000 0.0000 0.0000
Th 0.1250 0.1250 0.1250
Th 0.4996 0.4996 0.4996
Th 0.6254 0.6254 0.6254
Al 0.0613 0.5622 0.5622
Al 0.0629 0.0629 0.5634
Al 0.0629 0.5634 0.0629
Al 0.3129 0.3129 0.3129
Al 0.5622 0.0613 0.5622
Al 0.5622 0.5622 0.0613
Al 0.5634 0.0629 0.0629
Al 0.8120 0.8120 0.8120

The energy of formation is -502 kJ/mol of formula units. As for the total energy: -61.977 eV/cell. Its space group is R3m (160).

***

Record 6
The following is a DFT calculation (GGA-PBE) of a relaxed Ho2ThAl crystal.

Cell: 4.7877 4.7877 4.7725 Å, 90.00 90.00 90.00°
Sites, in units of the cell vectors:
Ho 0.0000 0.5000 0.0000
Ho 0.5000 0.0000 0.0000
Th 0.0000 0.0000 0.5000
Al 0.5000 0.5000 0.5000

The energy of formation is -55 kJ/mol of formula units. As for the total energy: -20.887 eV/cell. As for the relative energy among the computed polymorphs: 44 meV/atom. Its space group is P4/mmm (123).